# HgSb2As GGA-PBE optimized geometry
# - Total energy: -12.7 eV per formula unit
# - ΔE_f (raw): 137 meV per atom
data_HgSb2As
_chemical_formula_sum 'Hg3 Sb6 As3'
_cell_length_a 3.9922
_cell_length_b 3.9922
_cell_length_c 23.0312
_cell_angle_alpha 90.00
_cell_angle_beta 90.00
_cell_angle_gamma 120.00
_space_group_name_H-M_alt 'R 3 m'
_space_group_IT_number 160
_space_group_name_Hall 'R 3 -2"'
loop_
_atom_site_label
_atom_site_type_symbol
_atom_site_fract_x
_atom_site_fract_y
_atom_site_fract_z
Hg1 Hg 0.0000 0.0000 0.0000
Sb1 Sb 0.0000 0.0000 0.2429
Sb2 Sb 0.0000 0.0000 0.4225
As1 As 0.0000 0.0000 0.8307